The following is a DFT calculation (PBE) of a relaxed structure of LaPrAs.

Summary:
* space group: No. 216
* formation enthalpy at 0 K: -2.6 eV per formula unit

a b c (Å): 5.0695 5.0695 5.0695
angles (deg): 60.00 60.00 60.00
With the nearest neighbours (Å) after each atom.
Fractional coordinates of all 3 atoms:
Pr  0.5000  0.5000  0.5000  4 As 3.10
As  0.2500  0.2500  0.2500  4 La 3.10, 4 Pr 3.10
La  0.0000  0.0000  0.0000  4 As 3.10